# 1
VASP calculation (GGA-PBE) on a relaxed Sr2TmCd12Au3 crystal.

Calculated values
Fermi-level density of states: 9.424 states/eV/f.u.
E_tot: -28.4 eV per formula unit

```
Sr2TmCd12Au3
1.0
8.690 -0.536 -0.380
3.825 7.821 -0.380
3.825 2.227 7.507
Cd Au Sr Tm
12 3 2 1
Direct
0.845 0.845 0.401
0.274 0.835 0.274
0.726 0.165 0.726
0.274 0.274 0.835
0.165 0.726 0.726
0.155 0.599 0.155
0.845 0.401 0.845
0.599 0.155 0.155
0.726 0.726 0.165
0.835 0.274 0.274
0.155 0.155 0.599
0.401 0.845 0.845
0.500 0.000 0.000
0.000 0.000 0.500
0.000 0.500 0.000
0.591 0.591 0.591
0.409 0.409 0.409
0.000 0.000 0.000
```

# 2
VASP calculation (GGA-PBE) on a relaxed SrZnCdAu6 crystal.

Calculated values
Fermi-level density of states: 2.586 states/eV/f.u.
E_tot: -25.5 eV per formula unit

```
SrZnCdAu6
1.0
-2.191 -6.514 2.860
7.741 -0.144 5.603
-5.569 5.994 -0.303
Au Sr Zn Cd
12 2 2 2
Direct
0.322 0.138 0.253
0.678 0.862 0.747
0.932 0.616 0.253
0.010 0.760 0.021
0.322 0.616 0.253
0.068 0.862 0.747
0.432 0.182 0.865
0.068 0.384 0.747
0.568 0.818 0.135
0.678 0.384 0.747
0.932 0.138 0.253
0.990 0.240 0.979
0.715 0.465 0.430
0.285 0.535 0.570
0.500 0.000 0.000
0.500 0.500 0.000
0.000 0.000 0.500
0.500 0.000 0.500
```

# 3
VASP calculation (GGA-PBE) on a relaxed Sr3Zn2CdAu6 crystal.

Calculated values
Fermi-level density of states: 4.991 states/eV/f.u.
E_tot: -33.2 eV per formula unit

```
Sr3Zn2CdAu6
1.0
-1.538 -5.307 -3.284
2.517 -0.485 5.894
-7.987 0.195 3.426
Au Zn Sr Cd
6 2 3 1
Direct
0.817 0.183 0.721
0.817 0.633 0.721
0.633 0.817 0.279
0.183 0.367 0.279
0.367 0.183 0.721
0.183 0.817 0.279
0.667 0.333 0.964
0.333 0.667 0.036
0.667 0.333 0.368
0.333 0.667 0.632
0.000 0.000 0.000
0.000 0.000 0.500
```

# 4
VASP calculation (GGA-PBE) on a relaxed Sr2ZnCd2Au4 crystal.

Calculated values
Fermi-level density of states: 3.417 states/eV/f.u.
E_tot: -23.7 eV per formula unit

```
Sr2ZnCd2Au4
1.0
-2.190 2.618 -5.683
-4.295 0.219 5.044
5.034 3.244 2.843
Cd Au Zn Sr
2 4 1 2
Direct
0.000 0.684 0.684
0.000 0.316 0.316
0.000 0.742 0.258
0.484 0.742 0.742
0.000 0.258 0.742
0.516 0.258 0.258
0.000 0.000 0.000
0.500 0.250 0.750
0.500 0.750 0.250
```

# 5
VASP calculation (GGA-PBE) on a relaxed SrZnCdAu3 crystal.

Calculated values
Fermi-level density of states: 1.958 states/eV/f.u.
E_tot: -15.6 eV per formula unit

```
SrZnCdAu3
1.0
7.178 0.000 0.000
0.000 6.222 0.000
0.000 -3.111 6.441
Au Cd Sr Zn
6 2 2 2
Direct
0.500 0.270 0.000
0.750 0.849 0.698
0.000 0.270 0.000
0.000 0.730 0.000
0.500 0.730 0.000
0.250 0.151 0.302
0.750 0.636 0.273
0.250 0.364 0.727
0.750 0.310 0.619
0.250 0.690 0.381
0.250 0.939 0.879
0.750 0.061 0.121
```

# 6
VASP calculation (GGA-PBE) on a relaxed Sr2ZnCd6Au crystal.

Calculated values
Fermi-level density of states: 4.714 states/eV/f.u.
E_tot: -14.8 eV per formula unit

```
Sr2ZnCd6Au
1.0
7.386 0.003 0.122
0.003 7.390 0.123
3.789 3.791 5.330
Cd Sr Au Zn
6 2 1 1
Direct
0.204 0.204 0.493
0.796 0.796 0.507
0.212 0.212 0.083
0.255 0.745 0.999
0.745 0.255 0.001
0.788 0.788 0.917
0.297 0.702 0.500
0.703 0.298 0.500
0.000 0.000 0.000
0.500 0.500 0.000
```

# 7
VASP calculation (GGA-PBE) on a relaxed SrZnCd2Au5 crystal.

Calculated values
Fermi-level density of states: 2.749 states/eV/f.u.
E_tot: -23.4 eV per formula unit

```
SrZnCd2Au5
1.0
4.926 0.000 0.000
0.000 5.885 0.000
-2.463 -2.942 7.355
Au Sr Cd Zn
5 1 2 1
Direct
0.357 0.119 0.714
0.643 0.405 0.286
0.643 0.881 0.286
0.000 0.000 0.000
0.357 0.595 0.714
0.000 0.500 0.000
0.808 0.808 0.617
0.192 0.192 0.383
0.500 0.000 0.000
```

# 8
VASP calculation (GGA-PBE) on a relaxed SrZnCd2Au2 crystal.

Calculated values
Fermi-level density of states: 3.480 states/eV/f.u.
E_tot: -12.5 eV per formula unit

```
SrZnCd2Au2
1.0
-1.096 0.907 -5.261
-4.697 -2.718 0.510
0.247 5.745 3.763
Cd Zn Sr Au
2 1 1 2
Direct
0.250 0.750 0.500
0.750 0.250 0.500
0.000 0.000 0.000
0.500 0.500 0.000
0.782 0.782 0.564
0.218 0.218 0.436
```

no.,ΔE_f (eV/f.u.),volume (Å³/cell)
1,0.26,542
2,-1.95,392
3,-5.01,311
4,-4.13,218
5,-1.92,288
6,-1.42,284
7,-2.26,213
8,-1.14,169